[1]
The following is a PBE calculation of an optimized crystal structure of TbGdGaPb, from Alexandria via LeMat-Bulk.

It has space group F-43m (No. 216), with a = 7.500 Å, b = 7.500 Å, c = 7.500 Å, α = 90.00°, β = 90.00° and γ = 90.00°. The asymmetric unit holds Tb at (0.000, 0.000, 0.000), Gd at (0.000, 0.000, 0.500), Ga at (0.250, 0.250, 0.250) and Pb at (0.250, 0.250, 0.750).

Its mass density is 9338 kg/m³. As for the density of states at the Fermi level: 10.75 states/eV/cell. The energy of formation is -0.456 eV per atom. As for the calculated volume: 421.9 Å³/cell. The calculation puts the energy at -109.1 eV for the cell shown.

=====

[2]
The following is a PBE calculation of an optimized crystal structure of CrCdIn2, from Alexandria via LeMat-Bulk.

It has space group P2/m (No. 10), with a = 3.245 Å, b = 4.968 Å, c = 5.539 Å, α = 90.00°, β = 91.52° and γ = 90.00°. The asymmetric unit holds Cr at (0.000, 0.000, 0.000), Cd at (0.500, 0.000, 0.500) and In at (0.257, 0.500, 0.758).

Its mass density is 7328 kg/m³. As for the density of states at the Fermi level: 1.78 states/eV/cell. The energy of formation is 0.338 eV per atom. As for the calculated volume: 89.3 Å³/cell. The calculation puts the energy at -14.7 eV for the cell shown.

=====

[3]
The following is a PBE calculation of an optimized crystal structure of ScReSe2, from Alexandria via LeMat-Bulk.

It has space group Cmmm (No. 65), with a = 4.167 Å, b = 4.975 Å, c = 6.653 Å, α = 90.00°, β = 90.00° and γ = 90.00°. The asymmetric unit holds Sc at (0.000, 0.000, 0.000), Re at (0.000, 0.000, 0.500) and Se at (0.000, 0.500, 0.265).

Its formation energy without anion corrections is -0.12 eV per atom. Its mass density is 9369 kg/m³. As for the density of states at the Fermi level: 6.90 states/eV/cell. As for the calculated volume: 137.9 Å³/cell. The calculation puts the energy at -52.4 eV for the cell shown. The energy above the most stable polymorph in this dataset is 371 meV per atom.

=====

[4]
The following is a PBE calculation of an optimized crystal structure of LaTlSeF2, from Alexandria via LeMat-Bulk.

It has space group P4/mmm (No. 123), with a = 4.716 Å, b = 4.716 Å, c = 6.005 Å, α = 90.00°, β = 90.00° and γ = 90.00°. The asymmetric unit holds La at (0.000, 0.000, 0.000), Tl at (0.500, 0.500, 0.500), Se at (0.000, 0.000, 0.500) and F at (0.000, 0.500, 0.000).

Its formation energy without anion corrections is -2.58 eV per atom. Its mass density is 5721 kg/m³. As for the density of states at the Fermi level: 0.00 states/eV/cell. As for the calculated volume: 133.6 Å³/cell. The calculation puts the energy at -27.4 eV for the cell shown.

=====

[5]
The following is a PBE calculation of an optimized crystal structure of MgAs2Cl, from Alexandria via LeMat-Bulk.

It has space group I4/mmm (No. 139), with a = 5.763 Å, b = 5.763 Å, c = 5.172 Å, α = 90.00°, β = 90.00° and γ = 90.00°. The asymmetric unit holds Mg at (0.000, 0.000, 0.000), As at (0.000, 0.500, 0.000) and Cl at (0.000, 0.000, 0.500).

Its formation energy without anion corrections is -0.23 eV per atom. Its mass density is 4053 kg/m³. As for the density of states at the Fermi level: 3.49 states/eV/cell. As for the calculated volume: 171.7 Å³/cell. The calculation puts the energy at -27.3 eV for the cell shown. The energy above the most stable polymorph in this dataset is 370 meV per atom.

=====

[6]
The following is a PBE calculation of an optimized crystal structure of MnAs2SeS, from Alexandria via LeMat-Bulk.

It has space group P4/mmm (No. 123), with a = 4.692 Å, b = 4.692 Å, c = 4.402 Å, α = 90.00°, β = 90.00° and γ = 90.00°. The asymmetric unit holds Mn at (0.000, 0.000, 0.000), As at (0.000, 0.500, 0.000), Se at (0.000, 0.000, 0.500) and S at (0.500, 0.500, 0.500).

Its formation energy without anion corrections is 0.47 eV per atom. Its mass density is 5410 kg/m³. As for the density of states at the Fermi level: 3.63 states/eV/cell. As for the calculated volume: 96.9 Å³/cell. The calculation puts the energy at -23.7 eV for the cell shown. The energy above the most stable polymorph in this dataset is 0 meV per atom.

=====

[7]
The following is a PBE calculation of an optimized crystal structure of Pr2GeCl, from Alexandria via LeMat-Bulk.

It has space group Fm-3m (No. 225), with a = 7.388 Å, b = 7.388 Å, c = 7.388 Å, α = 90.00°, β = 90.00° and γ = 90.00°. The asymmetric unit holds Pr at (0.250, 0.250, 0.250), Ge at (0.000, 0.000, 0.000) and Cl at (0.000, 0.000, 0.500).

Its formation energy without anion corrections is -1.06 eV per atom. Its mass density is 6423 kg/m³. As for the density of states at the Fermi level: 7.47 states/eV/cell. As for the calculated volume: 403.2 Å³/cell. The calculation puts the energy at -81.1 eV for the cell shown. The energy above the most stable polymorph in this dataset is 203 meV per atom.

=====

[8]
The following is a PBE calculation of an optimized crystal structure of SrCuSb3, from Alexandria via LeMat-Bulk.

It has space group Pm-3m (No. 221), with a = 5.981 Å, b = 5.981 Å, c = 5.981 Å, α = 90.00°, β = 90.00° and γ = 90.00°. The asymmetric unit holds Sr at (0.000, 0.000, 0.000), Cu at (0.500, 0.500, 0.500) and Sb at (0.000, 0.000, 0.500).

Its formation energy without anion corrections is 1.15 eV per atom. Its mass density is 4007 kg/m³. As for the density of states at the Fermi level: 2.25 states/eV/cell. As for the calculated volume: 214.0 Å³/cell. The calculation puts the energy at -12.4 eV for the cell shown. The energy above the most stable polymorph in this dataset is 1285 meV per atom.

=====

calculated volume of number 1 (TbGdGaPb)?
421.9 Å³/cell

=====

energy of number 1 (TbGdGaPb)?
-109.1 eV for the cell shown